{"formula": "Li4ZnHgPt2", "functional": "PBE-GGA", "state": "optimized geometry", "lattice_angstrom": [[-2.927, -1.097, 2.956], [3.057, 0.001, 3.027], [-1.159, 6.241, 1.169]], "species": ["Zn", "Li", "Li", "Li", "Li", "Hg", "Pt", "Pt"], "fractional_positions": [[0.500, 0.500, 0.500], [0.000, 0.500, 0.268], [0.000, 0.000, 0.500], [0.500, 0.000, 0.732], [0.500, 0.500, 0.000], [0.000, 0.000, 0.000], [0.500, 0.000, 0.278], [0.000, 0.500, 0.722]], "energy_ev_per_atom": -3.16, "spacegroup": "P-4m2 (115)"}